1.
# Li2Pu2Au3

A relaxed structure of Li2Pu2Au3 (PBE, the Alexandria database).

Output
Its space group is P2/m. As for the crystal system: monoclinic. Its density of states at the Fermi level is 16.5 states/eV/cell. Its formation energy is -411 meV/atom. As for the volume: 139 Å³ per cell.

Cell: 3.9966 2.9658 11.8633 Å, 90.00 80.26 90.00°
Last column: magnetic moment on the atom in μB.
Fractional positions:
Li 0.2807 0.4998 0.4378  0.01
Pu 0.5835 0.5000 0.8328  5.63
Au 0.8279 0.9999 0.3431  0.03
Pu 0.4165 0.5000 0.1672  5.63
Li 0.7193 0.5002 0.5622  0.01
Au 0.0000 0.0000 0.0000  0.06
Au 0.1721 0.0001 0.6569  0.03

=====

2.
# LiPuAu2

A relaxed structure of LiPuAu2 (PBE, the Alexandria database).

Output
Its space group is P4/mmm. As for the crystal system: tetragonal. Its density of states at the Fermi level is 8.0 states/eV/cell. Its formation energy is -486 meV/atom. As for the volume: 78 Å³ per cell.

Cell: 3.2806 3.2806 7.2359 Å, 90.00 90.00 90.00°
Last column: magnetic moment on the atom in μB.
Fractional positions:
Li 0.5000 0.5000 0.0000  0.01
Au 0.0000 0.0000 0.7949  0.04
Pu 0.5000 0.5000 0.5000  5.53
Au 0.0000 0.0000 0.2051  0.04

=====

3.
# LiPuAu3

A relaxed structure of LiPuAu3 (PBE, the Alexandria database).

Output
Its space group is C2/m. As for the crystal system: monoclinic. Its density of states at the Fermi level is 28.3 states/eV/cell. Its formation energy is -410 meV/atom. As for the volume: 200 Å³ per cell.

Cell: 5.4694 4.5347 8.6366 Å, 105.22 75.74 90.00°
Last column: magnetic moment on the atom in μB.
Fractional positions:
Au 0.6019 0.6503 0.3007  0.02
Au 0.7199 0.0426 0.0851  0.01
Li 0.3727 0.1972 0.3944  0.01
Au 0.8733 0.2169 0.4337  0.02
Au 0.3981 0.3497 0.6993  0.02
Pu 0.1556 0.5802 0.1604  5.39
Pu 0.8444 0.4198 0.8396  5.39
Li 0.6273 0.8028 0.6056  0.01
Au 0.1267 0.7831 0.5663  0.02
Au 0.2801 0.9574 0.9149  0.01